GGA-PBE CaMg3Cd2, optimized geometry; ρ = 3.63 g/cm³; magnetization = 0.000 μB per formula unit; polymorph energy (0 for the lowest one) = 0.010 eV per atom; calculated formation energy = -0.14 eV per atom; DFT total energy = -1.574 eV/atom
1.0
9.700 -2.271 0.000
9.700 2.271 0.000
-3.542 0.000 10.515
Ca Mg Cd
3 9 6
direct
0.000 0.000 0.000
0.155 0.155 0.713
0.845 0.845 0.287
0.044 0.044 0.346
0.209 0.209 0.407
0.315 0.315 0.022
0.379 0.379 0.790
0.500 0.500 0.500
0.621 0.621 0.210
0.685 0.685 0.978
0.791 0.791 0.593
0.956 0.956 0.654
0.203 0.203 0.146
0.361 0.361 0.512
0.460 0.460 0.202
0.540 0.540 0.798
0.639 0.639 0.488
0.797 0.797 0.854



GGA-PBE Co2BH, optimized geometry; ρ = 7.39 g/cm³; magnetization = 0.307 μB per formula unit; polymorph energy (0 for the lowest one) = 0.077 eV per atom; DFT total energy = -5.910 eV/atom
1.0
0.000 2.442 2.442
2.442 0.000 2.442
2.442 2.442 0.000
Co B H
2 1 1
direct
0.250 0.250 0.250
0.750 0.750 0.750
0.000 0.000 0.000
0.500 0.500 0.500



GGA-PBE Cd2SiTc, optimized geometry; ρ = 8.50 g/cm³; magnetization = 0.661 μB per formula unit; DFT total energy = -4.048 eV/atom; E_form (uncorrected) = 357 meV per atom
1.0
-2.017 2.017 4.211
2.017 -2.017 4.211
2.017 2.017 -4.211
Cd Si Tc
2 1 1
direct
0.000 0.000 0.000
0.750 0.250 0.500
0.250 0.750 0.500
0.500 0.500 0.000



GGA-PBE MgCu2Pd8, optimized geometry; ρ = 8.84 g/cm³; magnetization = 0.001 μB per formula unit; polymorph energy (0 for the lowest one) = 0.398 eV per atom; calculated formation energy = 0.18 eV per atom; DFT total energy = -4.487 eV/atom
1.0
4.849 -4.419 0.000
4.849 4.419 0.000
-1.283 0.000 4.397
Mg Cu Pd
1 2 8
direct
0.000 0.000 0.000
0.141 0.141 0.545
0.859 0.859 0.455
0.154 0.667 0.202
0.267 0.267 0.115
0.333 0.846 0.798
0.421 0.421 0.703
0.579 0.579 0.297
0.667 0.154 0.202
0.733 0.733 0.885
0.846 0.333 0.798